The following is a PBE-GGA calculation of a geometry-optimized CaBiPb2O6 structure, from Alexandria.

Structure (POSCAR):
```
CaBiPb2O6
1.0
-4.098 -3.347 2.506
-1.859 -1.934 -5.622
5.481 -6.541 0.437
Pb O Ca Bi
4 12 2 2
Direct
0.489 0.454 0.233 Pb
0.989 0.046 0.733 Pb
0.511 0.546 0.767 Pb
0.011 0.954 0.267 Pb
0.375 0.930 0.735 O
0.314 0.673 0.038 O
0.821 0.780 0.917 O
0.186 0.173 0.462 O
0.875 0.570 0.235 O
0.179 0.220 0.083 O
0.625 0.070 0.265 O
0.686 0.327 0.962 O
0.679 0.280 0.583 O
0.125 0.430 0.765 O
0.321 0.720 0.417 O
0.814 0.827 0.538 O
0.000 0.500 0.500 Ca
0.500 0.000 0.000 Ca
0.000 0.500 0.000 Bi
0.500 0.000 0.500 Bi
```

Properties
For the formation energy without anion corrections, the calculation gives -1.346 eV per atom. The calculation puts the uncorrected energy at -5.65 eV per atom. The size of the total moment is 0.00 μB/f.u.